[1]
! LiTlMo | Alexandria | PBE-GGA | optimized geometry; values from VASP
! * distance to the lowest polymorph of the same formula: 0.0 meV/atom
! * space group: Fmm2
! * formation energy: 516 meV/atom
! * uncorrected energy: -4.52 eV/atom
&SYSTEM
  ibrav = 0, nat = 3, ntyp = 3
/
ATOMIC_SPECIES
Li 6.94 Li.upf
Tl 204.38 Tl.upf
Mo 95.94 Mo.upf
CELL_PARAMETERS angstrom
0.000 2.200 7.012
1.802 0.000 7.012
1.802 2.200 0.000
ATOMIC_POSITIONS crystal
Li 0.000 0.000 0.000
Tl 0.667 0.667 0.333
Mo 0.341 0.341 0.659

=====

[2]
! LiTl2Mo2 | Alexandria | PBE-GGA | optimized geometry; values from VASP
! * space group: I4/mmm
! * formation energy: 490 meV/atom
! * uncorrected energy: -5.17 eV/atom
&SYSTEM
  ibrav = 0, nat = 5, ntyp = 3
/
ATOMIC_SPECIES
Li 6.94 Li.upf
Tl 204.38 Tl.upf
Mo 95.94 Mo.upf
CELL_PARAMETERS angstrom
-1.846 1.846 7.622
1.846 -1.846 7.622
1.846 1.846 -7.622
ATOMIC_POSITIONS crystal
Li 0.000 0.000 0.000
Tl 0.401 0.401 0.000
Tl 0.599 0.599 0.000
Mo 0.250 0.750 0.500
Mo 0.750 0.250 0.500

=====

[3]
! LiTlMo3 | Alexandria | PBE-GGA | optimized geometry; values from VASP
! * distance to the lowest polymorph of the same formula: 0.0 meV/atom
! * space group: Pm-3m
! * formation energy: 1307 meV/atom
! * uncorrected energy: -6.05 eV/atom
&SYSTEM
  ibrav = 0, nat = 5, ntyp = 3
/
ATOMIC_SPECIES
Li 6.94 Li.upf
Tl 204.38 Tl.upf
Mo 95.94 Mo.upf
CELL_PARAMETERS angstrom
4.335 0.000 0.000
0.000 4.335 0.000
0.000 0.000 4.335
ATOMIC_POSITIONS crystal
Li 0.000 0.000 0.000
Tl 0.500 0.500 0.500
Mo 0.000 0.000 0.500
Mo 0.000 0.500 0.000
Mo 0.500 0.000 0.000

=====

[4]
! LiTlMo | Alexandria | PBE-GGA | optimized geometry; values from VASP
! * distance to the lowest polymorph of the same formula: 31.8 meV/atom
! * space group: P3m1
! * formation energy: 547 meV/atom
! * uncorrected energy: -4.49 eV/atom
&SYSTEM
  ibrav = 0, nat = 3, ntyp = 3
/
ATOMIC_SPECIES
Li 6.94 Li.upf
Tl 204.38 Tl.upf
Mo 95.94 Mo.upf
CELL_PARAMETERS angstrom
2.978 0.000 0.000
-1.489 2.579 0.000
0.000 0.000 7.364
ATOMIC_POSITIONS crystal
Li 0.000 0.000 0.000
Tl 0.333 0.667 0.666
Mo 0.667 0.333 0.321

=====

[5]
! LiTlMo | Alexandria | PBE-GGA | optimized geometry; values from VASP
! * distance to the lowest polymorph of the same formula: 91.6 meV/atom
! * space group: Imm2
! * formation energy: 607 meV/atom
! * uncorrected energy: -4.43 eV/atom
&SYSTEM
  ibrav = 0, nat = 3, ntyp = 3
/
ATOMIC_SPECIES
Li 6.94 Li.upf
Tl 204.38 Tl.upf
Mo 95.94 Mo.upf
CELL_PARAMETERS angstrom
-1.434 1.841 4.919
1.434 -1.841 4.919
1.434 1.841 -4.919
ATOMIC_POSITIONS crystal
Li 0.000 0.000 0.000
Tl 0.351 0.351 0.000
Mo 0.662 0.662 0.000

=====

[6]
! LiTl2Mo | Alexandria | PBE-GGA | optimized geometry; values from VASP
! * distance to the lowest polymorph of the same formula: 120.7 meV/atom
! * space group: Pmm2
! * formation energy: 472 meV/atom
! * uncorrected energy: -3.90 eV/atom
&SYSTEM
  ibrav = 0, nat = 4, ntyp = 3
/
ATOMIC_SPECIES
Li 6.94 Li.upf
Tl 204.38 Tl.upf
Mo 95.94 Mo.upf
CELL_PARAMETERS angstrom
3.057 0.000 0.000
0.000 4.776 0.000
0.000 0.000 5.742
ATOMIC_POSITIONS crystal
Li 0.000 0.000 0.000
Tl 0.000 0.000 0.447
Tl 0.500 0.500 0.853
Mo 0.500 0.500 0.342